# Na3Tl6Cd

A geometry-optimized Na3Tl6Cd structure (PBE, the Alexandria database).

Values from the calculation:
The calculation puts the calculated density at 8.23 g cm⁻³. The density of states at the Fermi level is 4.42 states/eV/f.u. The calculated total energy is -1.98 eV per atom. As for the space group: P2_1/m, No. 11. The energy above the most stable polymorph in this dataset is 0.000 eV per atom.

Cell lengths 5.475, 9.217, 12.116 Å; angles 111.76, 90.00, 90.00 degrees
Fractional positions:
Tl1 0.250 0.997 0.327
Tl2 0.750 0.003 0.167
Tl3 0.250 0.572 0.713
Tl4 0.750 0.003 0.673
Tl5 0.250 0.997 0.833
Tl6 0.250 0.203 0.139
Tl7 0.750 0.428 0.287
Tl8 0.750 0.227 0.477
Tl9 0.250 0.400 0.929
Tl10 0.750 0.600 0.071
Tl11 0.250 0.773 0.523
Tl12 0.750 0.797 0.861
Na1 0.750 0.409 0.774
Na2 0.250 0.796 0.022
Na3 0.250 0.174 0.623
Na4 0.250 0.591 0.226
Na5 0.750 0.204 0.978
Na6 0.750 0.826 0.377
Cd1 0.750 0.614 0.574
Cd2 0.250 0.386 0.426